(1)
A plane-wave DFT calculation with PBE-GGA was carried out for a relaxed Er5BeSe4 crystal.

```
10
Lattice="-4.516 4.516 2.845 4.516 -4.516 2.845 4.516 4.516 -2.845" Properties=species:S:1:pos:R:3 pbc="T T T"
Er 0.000 0.000 0.000
Er 3.657 1.968 0.000
Er 2.548 -0.859 2.845
Er 1.968 5.375 0.000
Er 0.859 2.548 2.845
Be 0.000 0.000 2.845
Se 6.277 0.843 0.000
Se 0.843 2.755 0.000
Se 3.673 1.761 2.845
Se -1.761 3.673 2.845
```

Summary:
- formation energy without anion corrections (eV/f.u.) = -14.0
- space group = I4/m (87)
- VASP energy (Ry per atom) = -0.4004

***

(2)
A plane-wave DFT calculation with PBE-GGA was carried out for a relaxed Er6BeSe4 crystal.

```
22
Lattice="5.704 3.293 4.543 -5.704 3.293 4.543 0.000 -6.586 4.543" Properties=species:S:1:pos:R:3 pbc="T T T"
Er -5.008 -1.318 7.624
Er -1.362 -4.997 6.004
Er -1.363 -1.590 5.353
Er -3.646 3.678 6.004
Er -0.695 1.975 5.353
Er -2.058 0.385 8.276
Er 2.058 -0.385 5.353
Er 0.695 -1.975 8.276
Er 3.646 -3.678 7.624
Er 1.362 1.590 8.276
Er 1.362 4.997 7.624
Er 5.008 1.318 6.004
Be 0.000 0.000 0.000
Be 0.000 0.000 6.814
Se -3.563 0.414 5.678
Se 0.000 0.000 3.407
Se -2.141 -2.879 7.950
Se 1.423 -3.293 5.678
Se -1.423 3.293 7.950
Se 2.141 2.879 5.678
Se 0.000 0.000 10.221
Se 3.563 -0.414 7.950
```

Summary:
- formation energy without anion corrections (eV/f.u.) = -10.5
- space group = R-3c (167)
- VASP energy (Ry per atom) = -0.3712

***

(3)
A plane-wave DFT calculation with PBE-GGA was carried out for a relaxed Er3BeSe6 crystal.

```
20
Lattice="5.673 -7.028 0.000 5.673 7.028 0.000 0.000 0.000 6.251" Properties=species:S:1:pos:R:3 pbc="T T T"
Er 5.673 5.272 3.126
Er 3.727 1.512 2.647
Er 3.727 -1.512 5.772
Er 7.619 1.512 2.647
Er 7.619 -1.512 5.772
Er 5.673 -5.272 0.000
Be 5.673 2.783 5.390
Be 5.673 -2.783 2.264
Se 3.816 3.665 4.491
Se 1.811 0.207 4.400
Se 1.811 -0.207 1.274
Se 5.673 3.061 1.335
Se 7.530 3.665 4.491
Se 5.673 0.659 4.640
Se 5.673 -0.659 1.514
Se 3.816 -3.665 1.366
Se 5.673 -3.061 4.460
Se 9.536 0.207 4.400
Se 9.536 -0.207 1.274
Se 7.530 -3.665 1.366
```

Summary:
- formation energy without anion corrections (eV/f.u.) = -14.7
- space group = Cmc2_1 (36)
- VASP energy (Ry per atom) = -0.3899

***

(4)
A plane-wave DFT calculation with PBE-GGA was carried out for a relaxed Er2BeSi3 crystal.

```
6
Lattice="3.932 0.000 0.000 0.000 3.972 0.000 0.000 0.000 6.730" Properties=species:S:1:pos:R:3 pbc="T T T"
Er 0.000 0.000 0.000
Er 1.966 0.000 3.361
Be 1.966 1.986 1.163
Si 0.000 1.986 2.146
Si 0.000 1.986 4.471
Si 1.966 1.986 5.712
```

Summary:
- distance to the lowest polymorph of the same formula (meV per atom) = 17
- formation energy without anion corrections (eV/f.u.) = -3.8
- space group = Pmm2 (25)
- VASP energy (Ry per atom) = -0.4039

***

(5)
A plane-wave DFT calculation with PBE-GGA was carried out for a relaxed Er2BeSi crystal.

```
4
Lattice="1.728 0.998 9.734 -1.728 0.998 9.734 0.000 -1.995 9.734" Properties=species:S:1:pos:R:3 pbc="T T T"
Er 0.000 0.000 2.862
Er 0.000 0.000 26.340
Be 0.000 0.000 0.000
Si 0.000 0.000 14.601
```

Summary:
- distance to the lowest polymorph of the same formula (meV per atom) = 991
- formation energy without anion corrections (eV/f.u.) = 2.1
- space group = R-3m (166)
- VASP energy (Ry per atom) = -0.2972

***

(6)
A plane-wave DFT calculation with PBE-GGA was carried out for a relaxed Er2BeSi crystal.

```
4
Lattice="3.844 0.000 0.000 0.000 2.056 5.249 0.000 -2.056 5.249" Properties=species:S:1:pos:R:3 pbc="T T T"
Er 0.000 0.000 0.000
Er 1.922 0.000 2.987
Be 1.922 0.000 6.115
Si 0.000 0.000 7.401
```

Summary:
- distance to the lowest polymorph of the same formula (meV per atom) = 0
- formation energy without anion corrections (eV/f.u.) = -1.9
- space group = Amm2 (38)
- VASP energy (Ry per atom) = -0.3700

***

(7)
A plane-wave DFT calculation with PBE-GGA was carried out for a relaxed Er2BeSi3 crystal.

```
12
Lattice="0.000 3.951 6.770 3.912 0.000 6.770 3.912 3.951 0.000" Properties=species:S:1:pos:R:3 pbc="T T T"
Er 3.912 1.942 6.770
Er 1.956 1.976 3.385
Er 5.867 5.927 10.156
Er 3.912 5.960 6.770
Be 3.912 3.951 4.516
Be 3.912 3.951 9.024
Si 3.912 3.951 2.337
Si 5.779 3.951 5.605
Si 5.779 3.951 7.936
Si 2.044 3.951 5.605
Si 2.044 3.951 7.936
Si 3.912 3.951 11.204
```

Summary:
- distance to the lowest polymorph of the same formula (meV per atom) = 0
- formation energy without anion corrections (eV/f.u.) = -4.0
- space group = Fmmm (69)
- VASP energy (Ry per atom) = -0.4051

***

(8)
A plane-wave DFT calculation with PBE-GGA was carried out for a relaxed Er3BeSi2 crystal.

```
24
Lattice="11.097 0.000 0.000 0.000 3.993 0.000 0.000 0.000 11.319" Properties=species:S:1:pos:R:3 pbc="T T T"
Er 0.695 0.998 1.376
Er 1.357 2.995 6.337
Er 2.268 0.998 9.028
Er 3.280 2.995 3.369
Er 4.191 0.998 0.677
Er 4.853 2.995 7.035
Er 6.244 0.998 4.283
Er 6.906 2.995 10.641
Er 7.817 0.998 7.950
Er 8.829 2.995 2.291
Er 9.740 0.998 4.982
Er 10.402 2.995 9.943
Be 1.494 0.998 4.122
Be 4.054 2.995 9.782
Be 7.043 0.998 1.537
Be 9.603 2.995 7.196
Si 0.359 2.995 3.611
Si 2.152 2.995 11.167
Si 3.397 0.998 5.508
Si 5.189 0.998 9.270
Si 5.908 2.995 2.048
Si 7.700 2.995 5.811
Si 8.945 0.998 0.151
Si 10.738 0.998 7.708
```

Summary:
- formation energy without anion corrections (eV/f.u.) = -3.7
- space group = Pnma (62)
- VASP energy (Ry per atom) = -0.3920

***

(9)
A plane-wave DFT calculation with PBE-GGA was carried out for a relaxed Er2BeSi2 crystal.

```
10
Lattice="5.203 -1.964 0.000 5.203 1.964 0.000 -4.367 0.000 9.134" Properties=species:S:1:pos:R:3 pbc="T T T"
Er -0.664 0.000 3.680
Er -0.671 0.000 7.797
Er 6.711 0.000 1.337
Er 6.704 0.000 5.454
Be 3.746 0.000 1.714
Be 2.294 0.000 7.420
Si -3.565 0.000 8.281
Si 2.313 0.000 3.467
Si 3.727 0.000 5.667
Si 9.605 0.000 0.853
```

Summary:
- formation energy without anion corrections (eV/f.u.) = -3.3
- space group = C2/m (12)
- VASP energy (Ry per atom) = -0.3965

***

(10)
A plane-wave DFT calculation with PBE-GGA was carried out for a relaxed Er2Be4Si3Tc crystal.

```
10
Lattice="3.766 0.000 0.000 0.000 3.766 0.000 0.000 0.000 10.038" Properties=species:S:1:pos:R:3 pbc="T T T"
Er 0.000 1.883 2.441
Er 1.883 0.000 7.597
Be 0.000 0.000 0.000
Be 0.000 1.883 6.443
Be 1.883 0.000 3.595
Be 1.883 1.883 0.000
Si 0.000 1.883 8.719
Si 1.883 0.000 1.318
Si 1.883 1.883 5.019
Tc 0.000 0.000 5.019
```

Summary:
- formation energy without anion corrections (eV/f.u.) = -3.9
- space group = P-4m2 (115)
- VASP energy (Ry per atom) = -0.4012

***

(11)
A plane-wave DFT calculation with PBE-GGA was carried out for a relaxed ErThBe2Si2 crystal.

```
6
Lattice="3.894 0.000 0.000 -1.947 3.373 0.000 0.000 0.000 8.225" Properties=species:S:1:pos:R:3 pbc="T T T"
Er 0.000 0.000 0.000
Th 0.000 0.000 4.113
Be 0.000 2.248 1.981
Be 1.947 1.124 6.245
Si 0.000 2.248 6.264
Si 1.947 1.124 1.962
```

Summary:
- formation energy without anion corrections (eV/f.u.) = -3.9
- space group = P-3m1 (164)
- VASP energy (Ry per atom) = -0.4185

***

(12)
A plane-wave DFT calculation with PBE-GGA was carried out for a relaxed ErTmBe2Si2 crystal.

```
6
Lattice="3.841 0.000 0.000 -1.920 3.326 0.000 0.000 0.000 7.936" Properties=species:S:1:pos:R:3 pbc="T T T"
Er 0.000 0.000 0.000
Tm 0.000 0.000 3.968
Be 0.000 2.218 5.939
Be 1.920 1.109 1.997
Si 0.000 2.218 1.993
Si 1.920 1.109 5.944
```

Summary:
- formation energy without anion corrections (eV/f.u.) = -3.9
- space group = P-3m1 (164)
- VASP energy (Ry per atom) = -0.3828

***

(13)
A plane-wave DFT calculation with PBE-GGA was carried out for a relaxed SmEr2Be crystal.

```
4
Lattice="3.438 0.000 0.000 0.000 3.438 0.000 0.000 0.000 8.664" Properties=species:S:1:pos:R:3 pbc="T T T"
Sm 0.000 0.000 0.000
Er 1.719 1.719 2.688
Er 1.719 1.719 5.977
Be 0.000 0.000 4.332
```

Summary:
- distance to the lowest polymorph of the same formula (meV per atom) = 0
- space group = P4/mmm (123)
- VASP energy (Ry per atom) = -0.3184
- ΔH_f (0 K) (eV per atom) = 0.0600

***

(14)
A plane-wave DFT calculation with PBE-GGA was carried out for a relaxed SmEr2Be crystal.

```
4
Lattice="1.720 0.993 11.354 -1.720 0.993 11.354 0.000 -1.986 11.354" Properties=species:S:1:pos:R:3 pbc="T T T"
Sm 0.000 0.000 0.000
Er 0.000 0.000 14.179
Er 0.000 0.000 19.884
Be 0.000 0.000 17.031
```

Summary:
- distance to the lowest polymorph of the same formula (meV per atom) = 637
- space group = R-3m (166)
- VASP energy (Ry per atom) = -0.2716
- ΔH_f (0 K) (eV per atom) = 0.6974

***

(15)
A plane-wave DFT calculation with PBE-GGA was carried out for a relaxed ErBeSn crystal.

```
18
Lattice="6.268 0.000 0.000 -3.134 5.428 0.000 0.000 0.000 11.695" Properties=species:S:1:pos:R:3 pbc="T T T"
Er -1.567 2.714 4.548
Er -1.567 2.714 11.045
Er 3.134 0.000 3.248
Er 3.134 0.000 8.446
Er 1.567 2.714 0.650
Er 1.567 2.714 7.146
Be -0.706 3.212 1.949
Be 0.706 3.212 9.745
Be 0.000 4.434 5.847
Be 3.134 0.995 5.847
Be 2.428 2.217 9.745
Be 3.840 2.217 1.949
Sn 0.000 0.000 1.949
Sn 0.000 0.000 5.847
Sn 0.000 0.000 9.745
Sn -1.567 2.714 7.796
Sn 3.134 0.000 0.000
Sn 1.567 2.714 3.898
```

Summary:
- space group = P6_222 (180)
- VASP energy (Ry per atom) = -0.2971
- ΔH_f (0 K) (eV per atom) = 0.0554

***

(16)
A plane-wave DFT calculation with PBE-GGA was carried out for a relaxed ErBeSn crystal.

```
3
Lattice="4.163 0.000 0.000 -2.081 3.605 0.000 0.000 0.000 4.134" Properties=species:S:1:pos:R:3 pbc="T T T"
Er 0.000 0.000 0.000
Be 0.000 2.403 2.072
Sn 2.081 1.202 2.066
```

Summary:
- space group = P3m1 (156)
- VASP energy (Ry per atom) = -0.3318
- ΔH_f (0 K) (eV per atom) = -0.4164

***

(17)
A plane-wave DFT calculation with PBE-GGA was carried out for a relaxed TbErBe4 crystal.

```
6
Lattice="0.000 3.549 3.549 3.549 0.000 3.549 3.549 3.549 0.000" Properties=species:S:1:pos:R:3 pbc="T T T"
Tb 0.000 0.000 0.000
Er 1.775 1.775 1.775
Be 4.437 2.662 2.662
Be 2.662 4.437 2.662
Be 2.662 2.662 4.437
Be 4.437 4.437 4.437
```

Summary:
- space group = F-43m (216)
- VASP energy (Ry per atom) = -0.2890
- ΔH_f (0 K) (eV per atom) = 0.0848

***

(18)
A plane-wave DFT calculation with PBE-GGA was carried out for a relaxed TbEr2Be crystal.

```
4
Lattice="3.437 0.000 0.000 0.000 3.437 0.000 0.000 0.000 8.542" Properties=species:S:1:pos:R:3 pbc="T T T"
Tb 0.000 0.000 0.000
Er 1.718 1.718 2.626
Er 1.718 1.718 5.916
Be 0.000 0.000 4.271
```

Summary:
- distance to the lowest polymorph of the same formula (meV per atom) = 0
- space group = P4/mmm (123)
- VASP energy (Ry per atom) = -0.3167
- ΔH_f (0 K) (eV per atom) = 0.0612

***

(19)
A plane-wave DFT calculation with PBE-GGA was carried out for a relaxed Tb2ErBe crystal.

```
4
Lattice="3.480 0.000 0.000 0.000 3.480 0.000 0.000 0.000 8.492" Properties=species:S:1:pos:R:3 pbc="T T T"
Tb 0.000 0.000 1.658
Tb 0.000 0.000 6.834
Er 1.740 1.740 4.246
Be 1.740 1.740 0.000
```

Summary:
- distance to the lowest polymorph of the same formula (meV per atom) = 0
- space group = P4/mmm (123)
- VASP energy (Ry per atom) = -0.3167
- ΔH_f (0 K) (eV per atom) = 0.0780

***

(20)
A plane-wave DFT calculation with PBE-GGA was carried out for a relaxed TbEr2Be crystal.

```
4
Lattice="1.706 0.985 11.318 -1.706 0.985 11.318 0.000 -1.969 11.318" Properties=species:S:1:pos:R:3 pbc="T T T"
Tb 0.000 0.000 0.000
Er 0.000 0.000 14.120
Er 0.000 0.000 19.832
Be 0.000 0.000 16.976
```

Summary:
- distance to the lowest polymorph of the same formula (meV per atom) = 624
- space group = R-3m (166)
- VASP energy (Ry per atom) = -0.2709
- ΔH_f (0 K) (eV per atom) = 0.6848

***

(21)
A plane-wave DFT calculation with PBE-GGA was carried out for a relaxed Tb2ErBe crystal.

```
4
Lattice="1.708 0.986 11.395 -1.708 0.986 11.395 0.000 -1.972 11.395" Properties=species:S:1:pos:R:3 pbc="T T T"
Tb 0.000 0.000 2.892
Tb 0.000 0.000 31.292
Er 0.000 0.000 17.092
Be 0.000 0.000 0.000
```

Summary:
- distance to the lowest polymorph of the same formula (meV per atom) = 599
- space group = R-3m (166)
- VASP energy (Ry per atom) = -0.2727
- ΔH_f (0 K) (eV per atom) = 0.6767

***

(22)
A plane-wave DFT calculation with PBE-GGA was carried out for a relaxed Er2BeTc crystal.

```
4
Lattice="3.464 0.000 0.000 0.000 3.464 0.000 0.000 0.000 6.531" Properties=species:S:1:pos:R:3 pbc="T T T"
Er 0.000 0.000 1.599
Er 0.000 0.000 4.932
Be 1.732 1.732 3.266
Tc 1.732 1.732 0.000
```

Summary:
- space group = P4/mmm (123)
- VASP energy (Ry per atom) = -0.4235
- ΔH_f (0 K) (eV per atom) = 0.0424

***

(23)
A plane-wave DFT calculation with PBE-GGA was carried out for a relaxed ErBe4Tc crystal.

```
6
Lattice="0.000 3.310 3.310 3.310 0.000 3.310 3.310 3.310 0.000" Properties=species:S:1:pos:R:3 pbc="T T T"
Er 0.000 0.000 0.000
Be 2.503 2.503 2.503
Be 4.117 4.117 2.503
Be 4.117 2.503 4.117
Be 2.503 4.117 4.117
Tc 4.965 4.965 4.965
```

Summary:
- space group = F-43m (216)
- VASP energy (Ry per atom) = -0.3709
- ΔH_f (0 K) (eV per atom) = -0.0737

***

(24)
A plane-wave DFT calculation with PBE-GGA was carried out for a relaxed ErBeTe2 crystal.

```
4
Lattice="1.883 1.087 8.956 -1.883 1.087 8.956 0.000 -2.174 8.956" Properties=species:S:1:pos:R:3 pbc="T T T"
Er 0.000 0.000 0.000
Be 0.000 0.000 13.434
Te 0.000 0.000 2.998
Te 0.000 0.000 23.871
```

Summary:
- formation energy without anion corrections (eV/f.u.) = -0.2
- space group = R-3m (166)
- VASP energy (Ry per atom) = -0.2715